A plane-wave DFT calculation with PBE with a Hubbard U was carried out for DyTl2FeO6 after structural relaxation.

Calculated values
Electronic total energy ... -5.842 eV per atom
Symmetry ... R3

```
DyTl2FeO6
1.0
-3.969 -0.539 3.906
-5.226 -1.335 -1.487
-1.985 -5.349 1.253
O Fe Tl Dy
6 1 2 1
Cartesian
-4.802 -4.735 3.429
-7.350 -2.661 3.268
-6.383 -2.781 -0.340
-4.264 -4.861 0.788
-6.764 -5.349 1.680
-3.824 -1.950 2.255
-3.023 -0.809 0.824
-2.091 -4.886 1.209
-5.735 -2.980 1.776
-8.583 -4.550 2.672
```